No. 1
HgPBr2: relaxed, PBE-GGA.

Summary:
For the raw formation energy, the calculation gives 0.242 eV/atom. Its energy above the most stable polymorph in this dataset is 0.469 eV/atom.

a = 10.9046 Å, b = 10.9046 Å, c = 10.9046 Å
α = 21.53°, β = 21.53°, γ = 21.53°
With the nearest neighbours (Å) after each atom.
Fractional positions:
P  0.5000  0.5000  0.5000  6 Br 2.72
Br  0.1242  0.1242  0.1242  3 P 2.72
Br  0.8758  0.8758  0.8758  3 P 2.72
Hg  0.0000  0.0000  0.0000  2 Br 3.97, 6 Hg 4.07

***

No. 2
HgPBr2: relaxed, PBE-GGA.

Summary:
For the raw formation energy, the calculation gives -0.180 eV/atom. Its energy above the most stable polymorph in this dataset is 0.048 eV/atom.

a = 6.3426 Å, b = 6.5155 Å, c = 8.0219 Å
α = 70.80°, β = 73.48°, γ = 81.39°
With the nearest neighbours (Å) after each atom.
Fractional positions:
Br  0.5763  0.4026  0.7740  1 Hg 2.56
Br  0.4237  0.5974  0.2260  1 Hg 2.56
Br  0.2223  0.0508  0.7067  1 P 2.25
Br  0.7777  0.9492  0.2933  1 P 2.25
P  0.0892  0.8697  0.5665  1 P 2.05, 1 Br 2.25
P  0.9108  0.1303  0.4335  1 P 2.05, 1 Br 2.25
Hg  0.8425  0.4752  0.9318  1 Br 2.56, 1 Hg 2.64
Hg  0.1575  0.5248  0.0682  1 Br 2.56, 1 Hg 2.64

***

No. 3
HgP2Br: relaxed, PBE-GGA.

Summary:
For the raw formation energy, the calculation gives 0.270 eV/atom. Its energy above the most stable polymorph in this dataset is 0.241 eV/atom.

a = 4.5646 Å, b = 4.5646 Å, c = 6.7726 Å
α = 73.76°, β = 73.76°, γ = 102.81°
With the nearest neighbours (Å) after each atom.
Fractional positions:
Br  0.7500  0.7500  0.7500  2 P 2.89
P  0.5925  0.5925  0.3994  1 P 2.01
P  0.9075  0.9075  0.1006  1 P 2.01
Hg  0.2500  0.2500  0.2500  2 P 2.57

***

No. 4
HgP2Br: relaxed, PBE-GGA.

Summary:
For the raw formation energy, the calculation gives 0.805 eV/atom. Its energy above the most stable polymorph in this dataset is 0.776 eV/atom.

a = 4.8592 Å, b = 4.8592 Å, c = 4.8592 Å
α = 60.00°, β = 60.00°, γ = 60.00°
With the nearest neighbours (Å) after each atom.
Fractional positions:
P  0.0000  0.0000  0.0000  4 Hg 2.98, 4 P 2.98
P  0.2500  0.2500  0.2500  4 Br 2.98, 4 P 2.98
Br  0.5000  0.5000  0.5000  4 Hg 2.98, 4 P 2.98
Hg  0.7500  0.7500  0.7500  4 Br 2.98, 4 P 2.98

***

No. 5
Hg4PBr: relaxed, PBE-GGA.

Summary:
For the raw formation energy, the calculation gives 0.475 eV/atom.

a = 5.9772 Å, b = 5.9772 Å, c = 5.9772 Å
α = 60.00°, β = 60.00°, γ = 60.00°
With the nearest neighbours (Å) after each atom.
Fractional positions:
Hg  0.3750  0.3750  0.8750  6 Hg 2.99
Hg  0.3750  0.3750  0.3750  6 Hg 2.99
Hg  0.8750  0.3750  0.3750  6 Hg 2.99
Hg  0.3750  0.8750  0.3750  6 Hg 2.99
Br  0.0000  0.0000  0.0000  12 Hg 3.50, 4 P 3.66
P  0.7500  0.7500  0.7500  12 Hg 3.50, 4 Br 3.66

***

No. 6
Hg2P3Br: relaxed, PBE-GGA.

Summary:
For the raw formation energy, the calculation gives -0.133 eV/atom.

a = 7.9439 Å, b = 8.1503 Å, c = 9.1065 Å
α = 90.00°, β = 90.00°, γ = 90.00°
With the nearest neighbours (Å) after each atom.
Fractional positions:
P  0.4226  0.1122  0.0152  2 P 2.22, 1 Hg 2.48
P  0.4226  0.3878  0.5152  2 P 2.22, 1 Hg 2.48
P  0.2500  0.5000  0.6778  2 P 2.22
P  0.5774  0.8878  0.9848  2 P 2.22, 1 Hg 2.48
P  0.0774  0.6122  0.5152  2 P 2.22, 1 Hg 2.48
P  0.5774  0.6122  0.4848  2 P 2.22, 1 Hg 2.48
P  0.7500  0.5000  0.3222  2 P 2.22
P  0.2500  0.0000  0.1778  2 P 2.22
P  0.9226  0.1122  0.9848  2 P 2.22, 1 Hg 2.48
P  0.0774  0.8878  0.0152  2 P 2.22, 1 Hg 2.48
P  0.7500  0.0000  0.8222  2 P 2.22
P  0.9226  0.3878  0.4848  2 P 2.22, 1 Hg 2.48
Hg  0.6063  0.2172  0.6733  2 P 2.48-2.51
Hg  0.8937  0.7172  0.1733  2 P 2.48-2.51
Hg  0.3937  0.7172  0.8267  2 P 2.48-2.51
Hg  0.8937  0.7828  0.6733  2 P 2.48-2.51
Hg  0.6063  0.2828  0.1733  2 P 2.48-2.51
Hg  0.1063  0.2172  0.3267  2 P 2.48-2.51
Hg  0.3937  0.7828  0.3267  2 P 2.48-2.51
Hg  0.1063  0.2828  0.8267  2 P 2.48-2.51
Br  0.7500  0.5000  0.8873  6 Hg 3.23-3.38, 2 P 3.56
Br  0.2500  0.5000  0.1127  6 Hg 3.23-3.38, 2 P 3.56
Br  0.7500  0.0000  0.3873  6 Hg 3.23-3.38, 2 P 3.56
Br  0.2500  0.0000  0.6127  6 Hg 3.23-3.38, 2 P 3.56

***

No. 7
HgPBr2: relaxed, PBE-GGA.

Summary:
For the raw formation energy, the calculation gives 0.160 eV/atom. Its energy above the most stable polymorph in this dataset is 0.388 eV/atom.

a = 3.8320 Å, b = 5.4633 Å, c = 5.4786 Å
α = 69.31°, β = 90.00°, γ = 90.00°
With the nearest neighbours (Å) after each atom.
Fractional positions:
Br  0.0000  0.0627  0.0630  2 P 2.58
Br  0.5000  0.7168  0.7157  2 Hg 2.96, 2 P 3.13
P  0.5000  0.2559  0.2552  2 Br 2.58, 2 Hg 2.69
Hg  0.0000  0.4646  0.4662  2 P 2.69, 2 Br 2.96

***

No. 8
HgP2Br: relaxed, PBE-GGA.

Summary:
For the raw formation energy, the calculation gives 0.763 eV/atom. Its energy above the most stable polymorph in this dataset is 0.734 eV/atom.

a = 3.5065 Å, b = 3.5065 Å, c = 7.6899 Å
α = 90.00°, β = 90.00°, γ = 112.22°
With the nearest neighbours (Å) after each atom.
Fractional positions:
Hg  0.5000  0.5000  0.7500  4 P 2.60
P  0.0000  0.0000  0.9725  2 Hg 2.60, 2 Br 2.89
P  0.0000  0.0000  0.5275  2 Hg 2.60, 2 Br 2.89
Br  0.5000  0.5000  0.2500  4 P 2.89

***

No. 9
HgP2Br: relaxed, PBE-GGA.

Summary:
For the raw formation energy, the calculation gives 0.760 eV/atom. Its energy above the most stable polymorph in this dataset is 0.731 eV/atom.

a = 3.3137 Å, b = 5.8391 Å, c = 4.3857 Å
α = 90.00°, β = 90.00°, γ = 90.00°
With the nearest neighbours (Å) after each atom.
Fractional positions:
P  0.5000  0.5000  0.0000  4 Hg 2.75
P  0.0000  0.0000  0.0000  4 Br 2.75
Br  0.5000  0.0000  0.5000  4 P 2.75
Hg  0.0000  0.5000  0.5000  4 P 2.75

***

No. 10
Hg3PBr2: relaxed, PBE-GGA.

Summary:
For the raw formation energy, the calculation gives 0.089 eV/atom.

a = 7.7171 Å, b = 7.7193 Å, c = 7.1684 Å
α = 89.83°, β = 90.00°, γ = 119.99°
With the nearest neighbours (Å) after each atom.
Fractional positions:
Hg  0.6714  0.0000  0.7500  1 P 2.53
Hg  0.6719  0.6719  0.2475  1 P 2.53
Hg  0.0000  0.6719  0.7475  1 P 2.53
Hg  0.3286  0.0000  0.2500  1 P 2.53
Hg  0.3281  0.3281  0.7525  1 P 2.53
Hg  0.0000  0.3281  0.2525  1 P 2.53
Br  0.3329  0.6661  0.0000  6 Hg 3.14-3.16
Br  0.6671  0.3339  0.0000  6 Hg 3.14-3.16
Br  0.6668  0.3339  0.5000  6 Hg 3.14-3.16
Br  0.3332  0.6661  0.5000  6 Hg 3.14-3.16
P  0.9999  0.0000  0.7500  3 Hg 2.53
P  0.0001  0.0000  0.2500  3 Hg 2.53

***

No. 11
HgPBr: relaxed, PBE-GGA.

Summary:
For the raw formation energy, the calculation gives -0.022 eV/atom. Its energy above the most stable polymorph in this dataset is 0.115 eV/atom.

a = 4.0082 Å, b = 7.4581 Å, c = 6.9399 Å
α = 108.04°, β = 90.00°, γ = 105.59°
With the nearest neighbours (Å) after each atom.
Fractional positions:
P  0.9247  0.8495  0.4565  1 P 2.05
P  0.0753  0.1505  0.5435  1 P 2.05
Hg  0.6219  0.2439  0.7989  2 P 2.62, 2 Br 2.88
Hg  0.3781  0.7561  0.2011  2 P 2.62, 2 Br 2.88
Br  0.8477  0.6954  0.8882  3 Hg 2.88-3.10
Br  0.1523  0.3046  0.1118  3 Hg 2.88-3.10

***

No. 12
HgP2Br: relaxed, PBE-GGA.

Summary:
For the raw formation energy, the calculation gives 0.332 eV/atom. Its energy above the most stable polymorph in this dataset is 0.302 eV/atom.

a = 5.2011 Å, b = 5.5403 Å, c = 5.4694 Å
α = 90.00°, β = 90.00°, γ = 90.00°
With the nearest neighbours (Å) after each atom.
Fractional positions:
Br  0.5000  0.5000  0.2500  2 Hg 2.73
P  0.0000  0.0000  0.9245  1 P 1.91
P  0.0000  0.0000  0.5755  1 P 1.91
Hg  0.5000  0.5000  0.7500  2 Br 2.73

***

No. 13
HgP2Br: relaxed, PBE-GGA.

Summary:
For the raw formation energy, the calculation gives 0.176 eV/atom. Its energy above the most stable polymorph in this dataset is 0.147 eV/atom.

a = 3.3524 Å, b = 3.3524 Å, c = 9.0007 Å
α = 90.00°, β = 90.00°, γ = 90.00°
With the nearest neighbours (Å) after each atom.
Fractional positions:
Hg  0.5000  0.5000  0.7671  1 P 2.48
P  0.0000  0.0000  0.1164  4 P 2.46
P  0.5000  0.5000  0.0432  4 P 2.46, 1 Hg 2.48
Br  0.0000  0.0000  0.5733  4 Hg 2.94

***

No. 14
HgPBr2: relaxed, PBE-GGA.

Summary:
For the raw formation energy, the calculation gives 0.187 eV/atom. Its energy above the most stable polymorph in this dataset is 0.415 eV/atom.

a = 4.0337 Å, b = 4.0337 Å, c = 9.1590 Å
α = 90.00°, β = 90.00°, γ = 124.62°
With the nearest neighbours (Å) after each atom.
Fractional positions:
Br  0.0000  0.0000  0.9277  2 P 2.59
Br  0.5000  0.5000  0.3121  2 Hg 2.72
Hg  0.0000  0.0000  0.5276  2 P 2.65, 2 Br 2.72
P  0.5000  0.5000  0.7327  2 Br 2.59, 2 Hg 2.65